Here is a relaxed CaTcSb crystal from the Alexandria database. Energies are from GGA-PBE.

## Properties
relative energy among the computed polymorphs	7.41	kcal/mol of atoms
V	71	Å³/cell
raw formation energy	161	meV/atom
D(E_F)	2.1	states/eV/f.u.
E	-16.01	eV/cell

a = 4.6474 Å, b = 4.6474 Å, c = 4.6474 Å
α = 60.00°, β = 60.00°, γ = 60.00°
With the nearest neighbours (Å) after each atom.
Fractional positions:
Sb1 0.5000 0.5000 0.5000  4 Tc 2.85
Ca1 0.0000 0.0000 0.0000  4 Tc 2.85
Tc1 0.7500 0.7500 0.7500  4 Sb 2.85, 4 Ca 2.85